(1)
Computed, not measured: a relaxed structure of AlIF3 at the PBE level of DFT.

VASP energy (eV/atom): -4.81
ΔE_f (raw) (eV per formula unit): -13.13
Fermi-level density of states (states/eV per atom): 0.000
Total moment (μB per atom): 0.000
Energy above the lowest structure with this stoichiometry (eV/atom): 0.000

a b c (Å): 8.9549 5.2389 10.3095
angles (deg): 90.00 122.66 90.00
Closest atoms and distances in Å follow each position.
Element x y z (fractional)
Al  0.0509  0.0022  0.1591  5 F 1.68-1.85
Al  0.0509  0.4978  0.6591  5 F 1.68-1.85
Al  0.9491  0.5022  0.3409  5 F 1.68-1.85
Al  0.9491  0.9978  0.8409  5 F 1.68-1.85
I  0.4261  0.0013  0.0847  1 I 2.70, 1 F 2.83
I  0.4261  0.4987  0.5847  1 I 2.70, 1 F 2.83
I  0.5739  0.5013  0.4153  1 I 2.70, 1 F 2.83
I  0.5739  0.9987  0.9153  1 I 2.70, 1 F 2.83
F  0.9996  0.2188  0.9990  2 Al 1.84-1.85
F  0.9996  0.2462  0.7488  2 Al 1.81
F  0.9996  0.2538  0.2488  2 Al 1.81
F  0.9996  0.2812  0.4990  2 Al 1.84-1.85
F  0.0004  0.7188  0.5010  2 Al 1.84-1.85
F  0.0004  0.7462  0.7512  2 Al 1.81
F  0.0004  0.7538  0.2512  2 Al 1.81
F  0.0004  0.7812  0.0010  2 Al 1.84-1.85
F  0.2731  0.0028  0.2640  1 Al 1.68
F  0.2731  0.4972  0.7640  1 Al 1.68
F  0.7269  0.5028  0.2360  1 Al 1.68
F  0.7269  0.9972  0.7360  1 Al 1.68

***

(2)
Computed, not measured: a relaxed structure of Nd2VI at the PBE level of DFT.

VASP energy (eV/atom): -4.70
ΔE_f (raw) (eV per formula unit): 1.42
Fermi-level density of states (states/eV per atom): 1.226
Total moment (μB per atom): 0.794

a b c (Å): 3.5880 3.5880 32.8344
angles (deg): 90.00 90.00 120.00
Closest atoms and distances in Å follow each position.
Element x y z (fractional)
Nd  0.0000  0.0000  0.0872  1 V 2.86
Nd  0.0000  0.0000  0.9128  1 V 2.86
Nd  0.3333  0.6667  0.5795  1 V 2.86
Nd  0.3333  0.6667  0.7538  1 V 2.86
Nd  0.6667  0.3333  0.2462  1 V 2.86
Nd  0.6667  0.3333  0.4205  1 V 2.86
V  0.0000  0.0000  0.0000  2 Nd 2.86
V  0.3333  0.6667  0.6667  2 Nd 2.86
V  0.6667  0.3333  0.3333  2 Nd 2.86
I  0.0000  0.0000  0.5000  6 Nd 3.33, 6 I 3.59
I  0.3333  0.6667  0.1667  6 Nd 3.33, 6 I 3.59
I  0.6667  0.3333  0.8333  6 Nd 3.33, 6 I 3.59

***

(3)
Computed, not measured: a relaxed structure of Sr2Ga5Au at the PBE level of DFT.

VASP energy (eV/atom): -3.23
DFT formation energy (eV per formula unit): -4.03
Fermi-level density of states (states/eV per atom): 0.464
Total moment (μB per atom): 0.000

a b c (Å): 9.0234 9.0234 9.4298
angles (deg): 90.00 90.00 151.47
Closest atoms and distances in Å follow each position.
Element x y z (fractional)
Sr  0.0000  0.0000  0.0000  4 Au 3.40, 10 Ga 3.42-3.61
Sr  0.0000  0.0000  0.5000  4 Au 3.40, 10 Ga 3.42-3.61
Sr  0.2005  0.7995  0.7500  10 Ga 3.23-3.38, 2 Au 3.33
Sr  0.7995  0.2005  0.2500  10 Ga 3.23-3.38, 2 Au 3.33
Ga  0.1896  0.8104  0.1075  3 Ga 2.63-2.69
Ga  0.1896  0.8104  0.3925  3 Ga 2.63-2.69
Ga  0.3521  0.6479  0.0196  3 Ga 2.63-2.73, 1 Au 2.68
Ga  0.3521  0.6479  0.4804  3 Ga 2.63-2.73, 1 Au 2.68
Ga  0.4089  0.5911  0.7500  1 Au 2.62, 2 Ga 2.73
Ga  0.5911  0.4089  0.2500  1 Au 2.62, 2 Ga 2.73
Ga  0.6479  0.3521  0.5196  3 Ga 2.63-2.73, 1 Au 2.68
Ga  0.6479  0.3521  0.9804  3 Ga 2.63-2.73, 1 Au 2.68
Ga  0.8104  0.1896  0.6075  3 Ga 2.63-2.69
Ga  0.8104  0.1896  0.8925  3 Ga 2.63-2.69
Au  0.4414  0.5586  0.2500  3 Ga 2.62-2.68
Au  0.5586  0.4414  0.7500  3 Ga 2.62-2.68